Record 1
Compound: NbNiPt3
Source: Alexandria
Functional: GGA-PBE
Structure: relaxed

Summary:
calculated formation energy: 0.849 eV/atom
energy relative to the lowest polymorph listed for this composition: 1362 meV per atom

Cell: 4.500 4.500 4.500 Å, 90.00 90.00 90.00°
Space group Pm-3m (No. 221)
Inequivalent atoms, fractional coordinates:
Nb1 0.000 0.000 0.000 [1 per cell]
Ni1 0.500 0.500 0.500 [1 per cell]
Pt1 0.000 0.500 0.500 [3 per cell]

Record 2
Compound: Nb2Ni2Pt
Source: Alexandria
Functional: GGA-PBE
Structure: relaxed

Summary:
calculated formation energy: -0.032 eV/atom
energy relative to the lowest polymorph listed for this composition: 339 meV per atom

Cell: 4.496 6.249 5.696 Å, 90.00 90.00 90.00°
Space group Cmmm (No. 65)
Inequivalent atoms, fractional coordinates:
Nb1 0.000 0.000 0.248 [4 per cell]
Ni1 0.000 0.319 0.000 [4 per cell]
Pt1 0.000 0.500 0.500 [2 per cell]

Record 3
Compound: Nb2NiPt4
Source: Alexandria
Functional: GGA-PBE
Structure: relaxed

Summary:
calculated formation energy: -0.374 eV/atom

Cell: 6.549 5.174 7.409 Å, 90.00 115.55 90.00°
Space group P2_1/m (No. 11)
Inequivalent atoms, fractional coordinates:
Nb1 0.083 0.250 0.450 [2 per cell]
Nb2 0.210 0.750 0.024 [2 per cell]
Ni1 0.044 0.250 0.796 [2 per cell]
Pt1 0.242 0.250 0.186 [2 per cell]
Pt2 0.370 0.503 0.780 [4 per cell]
Pt3 0.378 0.750 0.431 [2 per cell]

Record 4
Compound: Nb2Ni3Pt3
Source: Alexandria
Functional: GGA-PBE
Structure: relaxed

Summary:
calculated formation energy: -0.304 eV/atom
energy relative to the lowest polymorph listed for this composition: 153 meV per atom

Cell: 4.665 4.748 10.745 Å, 90.00 90.00 90.00°
Space group Immm (No. 71)
Inequivalent atoms, fractional coordinates:
Nb1 0.000 0.000 0.248 [4 per cell]
Ni1 0.000 0.000 0.000 [2 per cell]
Ni2 0.000 0.500 0.118 [4 per cell]
Pt1 0.000 0.000 0.500 [2 per cell]
Pt2 0.000 0.500 0.370 [4 per cell]

Record 5
Compound: NbNiPt2
Source: Alexandria
Functional: GGA-PBE
Structure: relaxed

Summary:
calculated formation energy: -0.442 eV/atom

Cell: 4.703 4.703 5.540 Å, 90.00 90.00 90.00°
Space group I4/mmm (No. 139)
Inequivalent atoms, fractional coordinates:
Nb1 0.000 0.000 0.000 [2 per cell]
Ni1 0.000 0.000 0.500 [2 per cell]
Pt1 0.000 0.500 0.250 [4 per cell]

Record 6
Compound: NbNiPt2
Source: Alexandria
Functional: GGA-PBE
Structure: relaxed

Summary:
calculated formation energy: -0.556 eV/atom

Cell: 3.873 3.873 7.987 Å, 90.00 90.00 90.00°
Space group I-4m2 (No. 119)
Inequivalent atoms, fractional coordinates:
Nb1 0.000 0.000 0.000 [2 per cell]
Ni1 0.000 0.500 0.250 [2 per cell]
Pt1 0.000 0.000 0.500 [2 per cell]
Pt2 0.000 0.500 0.750 [2 per cell]